! ZnIn3I (GGA-PBE, optimized geometry); values from VASP
! Space-group type: No. 221
! Raw total energy, eV/atom: -1.65
! Energy above the most stable polymorph in this dataset, eV/f.u.: 2.70
&SYSTEM
  ibrav = 0, nat = 5, ntyp = 3
/
ATOMIC_SPECIES
Zn 65.41 Zn.upf
In 114.82 In.upf
I 126.90 I.upf
ATOMIC_POSITIONS crystal
Zn 0.000 0.000 0.000
In 0.000 0.500 0.500
In 0.500 0.000 0.500
In 0.500 0.500 0.000
I 0.500 0.500 0.500
CELL_PARAMETERS angstrom
6.370 0.000 0.000
0.000 6.370 0.000
0.000 0.000 6.370


! ZnIn2I2 (GGA-PBE, optimized geometry); values from VASP
! Space-group type: No. 139
! Raw total energy, eV/atom: -2.08
! Energy above the most stable polymorph in this dataset, eV/f.u.: 0.43
&SYSTEM
  ibrav = 0, nat = 5, ntyp = 3
/
ATOMIC_SPECIES
Zn 65.41 Zn.upf
In 114.82 In.upf
I 126.90 I.upf
ATOMIC_POSITIONS crystal
Zn 0.000 0.000 0.000
In 0.360 0.360 0.000
In 0.640 0.640 0.000
I 0.250 0.750 0.500
I 0.750 0.250 0.500
CELL_PARAMETERS angstrom
-3.035 3.035 6.252
3.035 -3.035 6.252
3.035 3.035 -6.252


no.,E_form (uncorrected) (eV/atom),spin magnetization (μB/cell)
1,0.555,0.00
2,-0.106,0.00